No. 1
Ho2BeSi3 | PBE | optimized geometry

a = 3.932 Å, b = 3.993 Å, c = 6.752 Å
α = 90.00°, β = 90.00°, γ = 90.00°
Fractional positions:
Ho (0.000, 0.000, 0.000)
Ho (0.500, 0.000, 0.499)
Be (0.500, 0.500, 0.173)
Si (0.000, 0.500, 0.319)
Si (0.000, 0.500, 0.664)
Si (0.500, 0.500, 0.849)

Properties
SG   No. 25
E   -0.203 Ha/atom

=====

No. 2
CuReTcB | PBE | optimized geometry

a = 5.728 Å, b = 5.728 Å, c = 5.728 Å
α = 90.00°, β = 90.00°, γ = 90.00°
Fractional positions:
Cu (0.000, 0.000, 0.000)
Cu (0.000, 0.500, 0.500)
Cu (0.500, 0.000, 0.500)
Cu (0.500, 0.500, 0.000)
Re (0.250, 0.250, 0.250)
Re (0.250, 0.750, 0.750)
Re (0.750, 0.250, 0.750)
Re (0.750, 0.750, 0.250)
Tc (0.250, 0.250, 0.750)
Tc (0.250, 0.750, 0.250)
Tc (0.750, 0.250, 0.250)
Tc (0.750, 0.750, 0.750)
B (0.000, 0.000, 0.500)
B (0.000, 0.500, 0.000)
B (0.500, 0.000, 0.000)
B (0.500, 0.500, 0.500)

Properties
SG   No. 216
E   -0.288 Ha/atom

=====

No. 3
NiAsW4N2 | PBE | optimized geometry

a = 2.877 Å, b = 2.877 Å, c = 14.076 Å
α = 90.00°, β = 90.00°, γ = 120.00°
Fractional positions:
Ni (0.000, 0.000, 0.000)
As (0.333, 0.667, 0.500)
W (0.000, 0.000, 0.353)
W (0.000, 0.000, 0.647)
W (0.333, 0.667, 0.149)
W (0.333, 0.667, 0.851)
N (0.667, 0.333, 0.251)
N (0.667, 0.333, 0.749)

Properties
SG   No. 187
E   -0.352 Ha/atom